! NpPaSeN2 (PBE, relaxed); values from VASP
&SYSTEM
  ibrav = 0, nat = 5, ntyp = 4
/
ATOMIC_SPECIES
Np 237.00 Np.upf
Pa 231.04 Pa.upf
Se 78.96 Se.upf
N 14.01 N.upf
CELL_PARAMETERS angstrom
-1.9281 1.9281 6.0765
1.9281 -1.9281 6.0765
1.9281 1.9281 -6.0765
ATOMIC_POSITIONS angstrom
Np 0.0000 0.0000 0.0000
Pa 0.0000 0.0000 8.4218
Se 0.0000 0.0000 4.2308
N 1.9281 0.0000 1.2475
N 0.0000 1.9281 1.2475
! Size of the total moment: 4.00 μB/f.u.
! VASP energy: -50.07 eV per cell
! Formation energy from raw total energies: -1.500 eV/atom